First-principles (PBE-GGA) data for Th2ZrSi2Ir7 after structural relaxation, as listed in Alexandria via LeMat-Bulk.

Fermi-level density of states	5.870	states/eV/cell
magnetization	0.0	μB/f.u.
electronic total energy	-8.914	eV per atom
calculated density	14.98	g/cm3

Cell lengths 4.0420, 4.0420, 13.3909 Å; angles 84.65, 84.65, 89.74 degrees
Element x y z (fractional)
1 Th 0.8991 0.8991 0.3460
2 Th 0.1009 0.1009 0.6540
3 Zr 0.0000 0.0000 0.0000
4 Si 0.5762 0.5762 0.7529
5 Si 0.4238 0.4238 0.2471
6 Ir 0.5000 0.5000 0.0000
7 Ir 0.3743 0.3743 0.4245
8 Ir 0.6257 0.6257 0.5755
9 Ir 0.9533 0.4542 0.1505
10 Ir 0.4542 0.9533 0.1505
11 Ir 0.5458 0.0467 0.8495
12 Ir 0.0467 0.5458 0.8495

First-principles (PBE-GGA) data for Rb2NaPbI5 after structural relaxation, as listed in Alexandria via LeMat-Bulk.

Fermi-level density of states	0.000	states/eV/cell
magnetization	0.0	μB/f.u.
electronic total energy	-2.788	eV per atom
calculated density	4.07	g/cm3

Cell lengths 4.9008, 10.8768, 16.2867 Å; angles 90.00, 90.00, 103.02 degrees
Element x y z (fractional)
1 Rb 0.8721 0.7442 0.8020
2 Rb 0.0886 0.1773 0.6581
3 Rb 0.1279 0.2558 0.3020
4 Rb 0.9114 0.8227 0.1581
5 Na 0.5564 0.1127 0.9464
6 Na 0.4436 0.8873 0.4464
7 Pb 0.7747 0.5494 0.5283
8 Pb 0.2253 0.4506 0.0283
9 I 0.3747 0.7494 0.9910
10 I 0.7051 0.4101 0.8964
11 I 0.5011 0.0022 0.7768
12 I 0.2645 0.5289 0.6668
13 I 0.9270 0.8541 0.5582
14 I 0.6253 0.2506 0.4910
15 I 0.2949 0.5899 0.3964
16 I 0.4989 0.9978 0.2768
17 I 0.7355 0.4711 0.1668
18 I 0.0730 0.1459 0.0582